(1)
First-principles (GGA-PBE) data for a relaxed Ho2SnAu crystal, as listed in the Alexandria database.

POSCAR file:
```
Ho2SnAu
1.0
3.872 0.000 0.000
1.936 3.353 0.000
1.936 1.118 8.385
Au Ho Sn
1 2 1
Direct
0.000 0.000 0.000 Au
0.258 0.258 0.226 Ho
0.742 0.742 0.774 Ho
0.500 0.500 0.500 Sn
```

## Properties
The calculation puts the formation enthalpy at 0 K at -0.5871 eV per atom. As for the calculated volume: 27.21 A^3/atom. Its final energy is -4.696 eV/atom.

(2)
First-principles (GGA-PBE) data for a relaxed ScCd2Si crystal, as listed in the Alexandria database.

POSCAR file:
```
ScCd2Si
1.0
-1.930 -3.099 3.923
3.747 -1.029 3.691
-1.745 4.530 -2.271
Cd Sc Si
2 1 1
Direct
0.000 0.000 0.000 Cd
0.250 0.750 0.500 Cd
0.500 0.500 0.000 Sc
0.750 0.250 0.500 Si
```

## Properties
The formation energy without anion corrections is -0.05 eV per atom. As for the calculated volume: 20.23 A^3/atom. Its final energy is -3.450 eV/atom.

(3)
First-principles (GGA-PBE) data for a relaxed K3Nd3MoS8 crystal, as listed in the Alexandria database.

POSCAR file:
```
K3Nd3MoS8
1.0
-7.240 0.032 3.624
1.156 -4.402 -6.697
3.729 -2.946 7.478
K Nd Mo S
3 3 1 8
Direct
0.000 0.000 0.000 K
0.000 0.500 0.000 K
0.500 0.500 0.000 K
0.500 0.000 0.500 Nd
0.500 0.500 0.500 Nd
0.000 0.500 0.500 Nd
0.000 0.000 0.500 Mo
0.263 0.527 0.290 S
0.737 0.473 0.710 S
0.788 0.575 0.310 S
0.212 0.425 0.690 S
0.788 0.022 0.310 S
0.212 0.978 0.690 S
0.235 0.022 0.310 S
0.765 0.978 0.690 S
```

## Properties
The formation energy without anion corrections is -1.50 eV per atom. As for the calculated volume: 28.48 A^3/atom. Its final energy is -5.600 eV/atom.

(4)
First-principles (GGA-PBE) data for a relaxed In3ReGe crystal, as listed in the Alexandria database.

POSCAR file:
```
In3ReGe
1.0
-0.809 -0.277 5.162
-2.801 -4.367 -0.673
4.344 -2.867 0.528
Re Ge In
1 1 3
Direct
0.500 0.500 0.500 Re
0.000 0.000 0.000 Ge
0.000 0.500 0.000 In
0.000 0.000 0.500 In
0.500 0.000 0.000 In
```

## Properties
The calculation puts the formation enthalpy at 0 K at 1.4347 eV per atom. As for the calculated volume: 28.64 A^3/atom. Its final energy is -3.621 eV/atom. Its energy above the most stable polymorph in this dataset is 0.650 eV per atom.